# 1
Material: CrSb2Se
Method: DFT, PBE
State: relaxed

Cell lengths 3.3975, 4.1344, 13.5497 Å; angles 90.00, 90.00, 90.00 degrees
With the nearest neighbours (Å) after each atom.
Space group Immm (No. 71)
Asymmetric unit:
1 Cr 0.0000 0.0000 0.0000  4 Se 2.68
2 Sb 0.0000 0.5000 0.3142  2 Cr 3.04, 6 Sb 3.19-3.40, 2 Se 3.26
3 Se 0.0000 0.0000 0.5000  4 Cr 2.68

Properties
The calculated density comes out at 6.5 g/cm3. The calculation puts the raw total energy at -5.22 eV/atom. The value obtained for the formation energy from raw total energies is 0.1156 eV/atom. The value obtained for the volume is 23.79 A^3/atom.

---

# 2
Material: Cr2SbSe2
Method: DFT, PBE
State: relaxed

Cell lengths 4.8964, 4.8964, 8.9964 Å; angles 90.00, 90.00, 90.00 degrees
With the nearest neighbours (Å) after each atom.
Space group I4/mmm (No. 139)
Asymmetric unit:
1 Cr 0.0000 0.5000 0.2500  4 Se 2.55
2 Sb 0.0000 0.0000 0.0000  2 Se 2.97, 8 Cr 3.32
3 Se 0.0000 0.0000 0.3300  4 Cr 2.55

Properties
The calculated density comes out at 5.9 g/cm3. The calculation puts the raw total energy at -6.04 eV/atom. The value obtained for the formation energy from raw total energies is 0.0263 eV/atom. The value obtained for the volume is 21.57 A^3/atom.

---

# 3
Material: CrSb2Se
Method: DFT, PBE
State: relaxed

Cell lengths 4.2887, 4.2887, 10.0813 Å; angles 90.00, 90.00, 90.00 degrees
With the nearest neighbours (Å) after each atom.
Space group I4/mmm (No. 139)
Asymmetric unit:
1 Cr 0.0000 0.0000 0.0000  4 Se 3.03, 8 Sb 3.31
2 Sb 0.0000 0.5000 0.2500  4 Sb 3.03, 4 Cr 3.31, 4 Se 3.31
3 Se 0.0000 0.0000 0.5000  4 Cr 3.03, 8 Sb 3.31

Properties
The calculated density comes out at 6.7 g/cm3. The calculation puts the raw total energy at -5.00 eV/atom. The value obtained for the formation energy from raw total energies is 0.3372 eV/atom. The value obtained for the volume is 23.18 A^3/atom.

---

# 4
Material: CrSb2Se
Method: DFT, PBE
State: relaxed

Cell lengths 3.2068, 3.2068, 8.9044 Å; angles 90.00, 90.00, 90.00 degrees
With the nearest neighbours (Å) after each atom.
Space group P4mm (No. 99)
Asymmetric unit:
1 Cr 0.0000 0.0000 0.0000  4 Se 2.56
2 Sb 0.0000 0.0000 0.5232  8 Sb 3.21-3.50
3 Sb 0.5000 0.5000 0.2233  4 Cr 3.02, 1 Se 3.18, 4 Sb 3.21
4 Se 0.5000 0.5000 0.8666  4 Cr 2.56

Properties
The calculated density comes out at 6.8 g/cm3. The calculation puts the raw total energy at -5.25 eV/atom. The value obtained for the formation energy from raw total energies is 0.0834 eV/atom. The value obtained for the volume is 22.89 A^3/atom.